Record 1
The following is a PBE calculation of a relaxed Ho2Co3P4Ir crystal, from Alexandria.

Properties
Its density of states at the Fermi level is 3.2 states/eV/f.u. The total energy is -7.1168 eV per atom. As for the symmetry: P-4m2 (115).

Cell and atoms, written as POSCAR:
```
Ho2Co3P4Ir
1.0
3.942 0.000 0.000
0.000 3.942 0.000
0.000 0.000 9.180
Ho Co P Ir
2 3 4 1
direct
0.000 0.500 0.237
0.500 0.000 0.763
0.000 0.500 0.889
0.500 0.000 0.111
0.500 0.500 0.500
0.000 0.000 0.000
0.000 0.500 0.647
0.500 0.000 0.353
0.500 0.500 0.000
0.000 0.000 0.500
```

Record 2
The following is a PBE calculation of a relaxed PmHoCoIr crystal, from Alexandria.

Properties
Its density of states at the Fermi level is 1.1 states/eV/f.u. The total energy is -6.7442 eV per atom. As for the symmetry: F-43m (216).

Cell and atoms, written as POSCAR:
```
PmHoCoIr
1.0
6.870 0.000 0.000
0.000 6.870 0.000
0.000 0.000 6.870
Pm Ho Co Ir
4 4 4 4
direct
0.000 0.000 0.000
0.000 0.500 0.500
0.500 0.000 0.500
0.500 0.500 0.000
0.000 0.000 0.500
0.000 0.500 0.000
0.500 0.000 0.000
0.500 0.500 0.500
0.250 0.250 0.250
0.250 0.750 0.750
0.750 0.250 0.750
0.750 0.750 0.250
0.250 0.250 0.750
0.250 0.750 0.250
0.750 0.250 0.250
0.750 0.750 0.750
```

Record 3
The following is a PBE calculation of a relaxed HoPuCoIr crystal, from Alexandria.

Properties
Its density of states at the Fermi level is 7.7 states/eV/f.u. The total energy is -9.0705 eV per atom. As for the symmetry: F-43m (216).

Cell and atoms, written as POSCAR:
```
HoPuCoIr
1.0
6.765 0.000 0.000
0.000 6.765 0.000
0.000 0.000 6.765
Ho Pu Co Ir
4 4 4 4
direct
0.000 0.000 0.000
0.000 0.500 0.500
0.500 0.000 0.500
0.500 0.500 0.000
0.000 0.000 0.500
0.000 0.500 0.000
0.500 0.000 0.000
0.500 0.500 0.500
0.250 0.250 0.750
0.250 0.750 0.250
0.750 0.250 0.250
0.750 0.750 0.750
0.250 0.250 0.250
0.250 0.750 0.750
0.750 0.250 0.750
0.750 0.750 0.250
```

Record 4
The following is a PBE calculation of a relaxed HoScCoIr crystal, from Alexandria.

Properties
Its density of states at the Fermi level is 1.9 states/eV/f.u. The total energy is -7.3179 eV per atom. As for the symmetry: F-43m (216).

Cell and atoms, written as POSCAR:
```
HoScCoIr
1.0
6.571 0.000 0.000
0.000 6.571 0.000
0.000 0.000 6.571
Ho Sc Co Ir
4 4 4 4
direct
0.000 0.000 0.000
0.000 0.500 0.500
0.500 0.000 0.500
0.500 0.500 0.000
0.000 0.000 0.500
0.000 0.500 0.000
0.500 0.000 0.000
0.500 0.500 0.500
0.250 0.250 0.250
0.250 0.750 0.750
0.750 0.250 0.750
0.750 0.750 0.250
0.250 0.250 0.750
0.250 0.750 0.250
0.750 0.250 0.250
0.750 0.750 0.750
```

Record 5
The following is a PBE calculation of a relaxed SmHoCoIr crystal, from Alexandria.

Properties
Its density of states at the Fermi level is 1.0 states/eV/f.u. The total energy is -6.7571 eV per atom. As for the symmetry: F-43m (216).

Cell and atoms, written as POSCAR:
```
SmHoCoIr
1.0
6.850 0.000 0.000
0.000 6.850 0.000
0.000 0.000 6.850
Sm Ho Co Ir
4 4 4 4
direct
0.000 0.000 0.000
0.000 0.500 0.500
0.500 0.000 0.500
0.500 0.500 0.000
0.000 0.000 0.500
0.000 0.500 0.000
0.500 0.000 0.000
0.500 0.500 0.500
0.250 0.250 0.250
0.250 0.750 0.750
0.750 0.250 0.750
0.750 0.750 0.250
0.250 0.250 0.750
0.250 0.750 0.250
0.750 0.250 0.250
0.750 0.750 0.750
```

Record 6
The following is a PBE calculation of a relaxed HoCoSnIr crystal, from Alexandria.

Properties
Its density of states at the Fermi level is 1.1 states/eV/f.u. The total energy is -6.5666 eV per atom. As for the symmetry: F-43m (216).

Cell and atoms, written as POSCAR:
```
HoCoSnIr
1.0
6.564 0.000 0.000
0.000 6.564 0.000
0.000 0.000 6.564
Ho Co Sn Ir
4 4 4 4
direct
0.000 0.000 0.000
0.000 0.500 0.500
0.500 0.000 0.500
0.500 0.500 0.000
0.250 0.250 0.250
0.250 0.750 0.750
0.750 0.250 0.750
0.750 0.750 0.250
0.000 0.000 0.500
0.000 0.500 0.000
0.500 0.000 0.000
0.500 0.500 0.500
0.250 0.250 0.750
0.250 0.750 0.250
0.750 0.250 0.250
0.750 0.750 0.750
```

Record 7
The following is a PBE calculation of a relaxed HoThCoIr crystal, from Alexandria.

Properties
Its density of states at the Fermi level is 2.4 states/eV/f.u. The total energy is -7.4745 eV per atom. As for the symmetry: F-43m (216).

Cell and atoms, written as POSCAR:
```
HoThCoIr
1.0
6.927 0.000 0.000
0.000 6.927 0.000
0.000 0.000 6.927
Ho Th Co Ir
4 4 4 4
direct
0.000 0.000 0.000
0.000 0.500 0.500
0.500 0.000 0.500
0.500 0.500 0.000
0.000 0.000 0.500
0.000 0.500 0.000
0.500 0.000 0.000
0.500 0.500 0.500
0.250 0.250 0.250
0.250 0.750 0.750
0.750 0.250 0.750
0.750 0.750 0.250
0.250 0.250 0.750
0.250 0.750 0.250
0.750 0.250 0.250
0.750 0.750 0.750
```

Record 8
The following is a PBE calculation of a relaxed HoTiCoIr crystal, from Alexandria.

Properties
Its density of states at the Fermi level is 3.3 states/eV/f.u. The total energy is -7.5612 eV per atom. As for the symmetry: F-43m (216).

Cell and atoms, written as POSCAR:
```
HoTiCoIr
1.0
6.451 0.000 0.000
0.000 6.451 0.000
0.000 0.000 6.451
Ho Ti Co Ir
4 4 4 4
direct
0.000 0.000 0.000
0.000 0.500 0.500
0.500 0.000 0.500
0.500 0.500 0.000
0.000 0.000 0.500
0.000 0.500 0.000
0.500 0.000 0.000
0.500 0.500 0.500
0.250 0.250 0.750
0.250 0.750 0.250
0.750 0.250 0.250
0.750 0.750 0.750
0.250 0.250 0.250
0.250 0.750 0.750
0.750 0.250 0.750
0.750 0.750 0.250
```

Number 1: spin magnetization 0.00 μB/f.u., energy of formation -10.2 eV/f.u.. Number 2: spin magnetization 0.55 μB/f.u., energy of formation -1.7 eV/f.u.. Number 3: spin magnetization 4.37 μB/f.u., energy of formation -1.4 eV/f.u.. Number 4: spin magnetization 0.47 μB/f.u., energy of formation -2.4 eV/f.u.. Number 5: spin magnetization 0.54 μB/f.u., energy of formation -1.8 eV/f.u.. Number 6: spin magnetization 1.03 μB/f.u., energy of formation -1.7 eV/f.u.. Number 7: spin magnetization 0.00 μB/f.u., energy of formation -1.9 eV/f.u.. Number 8: spin magnetization 0.96 μB/f.u., energy of formation -1.8 eV/f.u..